The following is a DFT calculation (PBE) of a relaxed structure of NaH8Pd2Pt.

Properties
raw total energy = -3.776 eV/atom
SG = P-1 (2)

abc: 4.3423 4.3308 5.7929
angles: 84.80 85.04 89.98
Fractional positions:
Na: 0.0000 0.0000 0.5000
H: 0.1870 0.7698 0.1994
H: 0.7223 0.7247 0.9624
H: 0.7737 0.1904 0.1981
H: 0.8130 0.2302 0.8006
H: 0.2777 0.2753 0.0376
H: 0.2263 0.8096 0.8019
H: 0.6370 0.6521 0.4968
H: 0.3630 0.3479 0.5032
Pd: 0.4800 0.4803 0.7584
Pd: 0.5200 0.5197 0.2416
Pt: 0.0000 0.0000 0.0000